No. 1
Material: V6Ru5W
Method: DFT, GGA-PBE
State: optimized geometry

Computed properties:
As for the formation enthalpy at 0 K: -2.8 eV/f.u. For the density of states at the Fermi level, the calculation gives 1.24 states/eV/atom. Its space group is Cmmm (65). Its crystal system is orthorhombic. The value obtained for the electronic total energy is -9.741 eV per atom. For the total magnetization, the calculation gives 0.014 μB/cell.

Cell lengths 6.770, 6.770, 6.038 Å; angles 90.00, 90.00, 143.24 degrees
Sites, in units of the cell vectors:
V (0.000, 0.000, 0.248)
V (0.000, 0.000, 0.752)
V (0.336, 0.664, 0.248)
V (0.336, 0.664, 0.752)
V (0.664, 0.336, 0.248)
V (0.664, 0.336, 0.752)
Ru (0.168, 0.832, 0.500)
Ru (0.170, 0.830, 0.000)
Ru (0.500, 0.500, 0.500)
Ru (0.830, 0.170, 0.000)
Ru (0.832, 0.168, 0.500)
W (0.500, 0.500, 0.000)

=====

No. 2
Material: VRuW3
Method: DFT, GGA-PBE
State: optimized geometry

Computed properties:
As for the formation enthalpy at 0 K: 8.6 eV/f.u. For the density of states at the Fermi level, the calculation gives 1.16 states/eV/atom. Its space group is Pm-3m (221). Its crystal system is cubic. The value obtained for the electronic total energy is -9.733 eV per atom. For the total magnetization, the calculation gives 0.000 μB/cell.

Cell lengths 4.456, 4.456, 4.456 Å; angles 90.00, 90.00, 90.00 degrees
Sites, in units of the cell vectors:
V (0.000, 0.000, 0.000)
Ru (0.500, 0.500, 0.500)
W (0.000, 0.000, 0.500)
W (0.000, 0.500, 0.000)
W (0.500, 0.000, 0.000)

=====

No. 3
Material: V4RuW
Method: DFT, GGA-PBE
State: optimized geometry

Computed properties:
As for the formation enthalpy at 0 K: 0.3 eV/f.u. For the density of states at the Fermi level, the calculation gives 1.62 states/eV/atom. Its space group is F-43m (216). Its crystal system is cubic. The value obtained for the electronic total energy is -9.737 eV per atom. For the total magnetization, the calculation gives 0.000 μB/cell.

Cell lengths 4.909, 4.909, 4.909 Å; angles 60.00, 60.00, 60.00 degrees
Sites, in units of the cell vectors:
V (0.125, 0.125, 0.125)
V (0.125, 0.125, 0.626)
V (0.125, 0.626, 0.125)
V (0.626, 0.125, 0.125)
Ru (0.500, 0.500, 0.500)
W (0.750, 0.750, 0.750)